i) Material: GaCoReNi
Method: DFT, PBE
State: relaxed

```
data_GaCoReNi
_chemical_formula_sum 'Ga4 Co4 Re4 Ni4'
_cell_length_a 5.8561
_cell_length_b 5.8561
_cell_length_c 5.8561
_cell_angle_alpha 90.00
_cell_angle_beta 90.00
_cell_angle_gamma 90.00
_space_group_name_H-M_alt 'F -4 3 m'
_space_group_IT_number 216
_space_group_name_Hall 'F -4 2 3'
loop_
_atom_site_label
_atom_site_type_symbol
_atom_site_fract_x
_atom_site_fract_y
_atom_site_fract_z
Ga1 Ga 0.0000 0.0000 0.0000
Co1 Co 0.2500 0.2500 0.2500
Re1 Re 0.0000 0.0000 0.5000
Ni1 Ni 0.2500 0.2500 0.7500
```



ii) Material: GaCoReNi
Method: DFT, PBE
State: relaxed

```
data_GaCoReNi
_chemical_formula_sum 'Ga4 Co4 Re4 Ni4'
_cell_length_a 5.8551
_cell_length_b 5.8551
_cell_length_c 5.8551
_cell_angle_alpha 90.00
_cell_angle_beta 90.00
_cell_angle_gamma 90.00
_space_group_name_H-M_alt 'F -4 3 m'
_space_group_IT_number 216
_space_group_name_Hall 'F -4 2 3'
loop_
_atom_site_label
_atom_site_type_symbol
_atom_site_fract_x
_atom_site_fract_y
_atom_site_fract_z
Ga1 Ga 0.0000 0.0000 0.0000
Co1 Co 0.2500 0.2500 0.2500
Re1 Re 0.2500 0.2500 0.7500
Ni1 Ni 0.0000 0.0000 0.5000
```



Most stable = i)